Entry 1:
Density functional theory data (PBE-GGA) for a relaxed Ba2TaAl crystal.

## Properties
Calculated formation energy (eV per atom): 0.60
Space-group type: Imm2 (44)
Energy (eV per atom): -4.26

```
Ba2TaAl
1.0
-6.135 -2.486 -1.255
-0.927 -3.231 -5.839
3.570 0.124 5.712
Ba Ta Al
2 1 1
direct
0.973 0.973 0.000 Ba
0.271 0.771 0.500 Ba
0.554 0.554 0.000 Ta
0.701 0.201 0.500 Al
```

***

Entry 2:
Density functional theory data (PBE-GGA) for a relaxed Ba2TaAl crystal.

## Properties
Calculated formation energy (eV per atom): 0.40
Space-group type: P4mm (99)
Energy (eV per atom): -4.46

```
Ba2TaAl
1.0
3.763 0.000 0.000
0.000 3.763 0.000
0.000 0.000 9.682
Ba Al Ta
2 1 1
direct
0.500 0.500 0.328 Ba
0.000 0.000 0.923 Ba
0.500 0.500 0.659 Al
0.000 0.000 0.589 Ta
```

***

Entry 3:
Density functional theory data (PBE-GGA) for a relaxed BaTaAl3 crystal.

## Properties
Excess energy over the best structure of this formula in the dataset (eV per atom): 0.0000
Calculated formation energy (eV per atom): 0.15
Space-group type: Pm-3m (221)
Energy (eV per atom): -4.85

```
BaTaAl3
1.0
5.178 0.000 0.000
0.000 5.178 0.000
0.000 0.000 5.178
Al Ba Ta
3 1 1
direct
0.000 0.000 0.500 Al
0.500 0.000 0.000 Al
0.000 0.500 0.000 Al
0.500 0.500 0.500 Ba
0.000 0.000 0.000 Ta
```

***

Entry 4:
Density functional theory data (PBE-GGA) for a relaxed BaTaAl2 crystal.

## Properties
Excess energy over the best structure of this formula in the dataset (eV per atom): 0.3286
Calculated formation energy (eV per atom): 0.41
Space-group type: Cm (8)
Energy (eV per atom): -4.91

```
BaTaAl2
1.0
5.181 -0.006 -0.009
4.284 2.914 -0.009
1.014 0.311 6.500
Ba Al Ta
1 2 1
direct
0.486 0.486 0.508 Ba
0.010 0.010 0.026 Al
0.730 0.730 0.822 Al
0.275 0.275 0.144 Ta
```

***

Entry 5:
Density functional theory data (PBE-GGA) for a relaxed Ba2TaAl crystal.

## Properties
Calculated formation energy (eV per atom): 0.80
Space-group type: P4/mmm (123)
Energy (eV per atom): -4.06

```
Ba2TaAl
1.0
-1.990 1.825 1.963
-2.679 -1.409 -1.407
0.190 -7.793 7.439
Ba Ta Al
2 1 1
direct
0.000 0.000 0.503 Ba
0.000 0.000 0.997 Ba
0.500 0.500 0.250 Ta
0.500 0.500 0.750 Al
```

***

Entry 6:
Density functional theory data (PBE-GGA) for a relaxed Ba2TaAl crystal.

## Properties
Calculated formation energy (eV per atom): 0.63
Space-group type: Pm (6)
Energy (eV per atom): -4.23

```
Ba2TaAl
1.0
-4.749 1.259 -0.829
-1.007 -1.949 2.807
0.313 5.027 5.839
Ta Ba Al
1 2 1
direct
0.000 0.663 0.545 Ta
0.500 0.275 0.322 Ba
0.000 0.975 0.929 Ba
0.500 0.587 0.704 Al
```

***

Entry 7:
Density functional theory data (PBE-GGA) for a relaxed Ba2TaAl crystal.

## Properties
Calculated formation energy (eV per atom): 0.88
Space-group type: Pmmm (47)
Energy (eV per atom): -3.98

```
Ba2TaAl
1.0
3.346 0.000 0.000
0.000 5.135 0.000
0.000 0.000 7.279
Al Ba Ta
1 2 1
direct
0.500 0.500 0.750 Al
0.000 0.000 0.997 Ba
0.000 0.000 0.503 Ba
0.500 0.500 0.250 Ta
```

***

Entry 8:
Density functional theory data (PBE-GGA) for a relaxed BaTaAlTl2 crystal.

## Properties
Calculated formation energy (eV per atom): 1.19
Space-group type: P4/mmm (123)
Energy (eV per atom): -3.26

```
BaTaAlTl2
1.0
-0.129 5.253 -0.380
-3.313 -0.448 -5.076
-4.415 0.100 2.873
Ta Al Ba Tl
1 1 1 2
direct
0.500 0.500 0.500 Ta
0.000 0.000 0.000 Al
0.000 0.500 0.000 Ba
0.500 0.000 0.000 Tl
0.000 0.000 0.500 Tl
```

***

Entry 9:
Density functional theory data (PBE-GGA) for a relaxed BaTb2Al crystal.

## Properties
Excess energy over the best structure of this formula in the dataset (eV per atom): 0.0000
Calculated formation energy (eV per atom): -0.06
Space-group type: P4/mmm (123)
Energy (eV per atom): -3.79

```
BaTb2Al
1.0
-3.317 0.121 -1.588
0.119 -3.640 -0.526
-4.269 -1.413 8.808
Al Ba Tb
1 1 2
direct
0.500 0.500 0.000 Al
0.500 0.500 0.500 Ba
0.000 0.000 0.178 Tb
0.000 0.000 0.822 Tb
```

***

Entry 10:
Density functional theory data (PBE-GGA) for a relaxed BaTb2Al crystal.

## Properties
Excess energy over the best structure of this formula in the dataset (eV per atom): 0.1854
Calculated formation energy (eV per atom): 0.12
Space-group type: R-3m (166)
Energy (eV per atom): -3.61

```
BaTb2Al
1.0
-2.293 -1.919 -2.113
1.245 -1.655 -3.020
1.977 -10.855 4.541
Ba Al Tb
1 1 2
direct
0.000 0.000 0.000 Ba
0.500 0.500 0.500 Al
0.105 0.105 0.685 Tb
0.895 0.895 0.315 Tb
```

***

Entry 11:
Density functional theory data (PBE-GGA) for a relaxed Ba2TbAlTe5 crystal.

## Properties
Formation energy (no corrections) (eV per formula unit): -12.07
Space-group type: Cmc2_1 (36)
Energy (eV per atom): -4.44

```
Ba2TbAlTe5
1.0
4.509 0.000 0.000
-2.255 10.286 0.000
0.000 0.000 14.324
Ba Te Al Tb
4 10 2 2
direct
0.122 0.244 0.687 Ba
0.124 0.248 0.325 Ba
0.878 0.756 0.187 Ba
0.876 0.752 0.825 Ba
0.688 0.376 0.872 Te
0.296 0.592 0.671 Te
0.351 0.702 0.007 Te
0.953 0.906 0.535 Te
0.312 0.624 0.372 Te
0.649 0.298 0.507 Te
0.704 0.408 0.171 Te
0.501 0.003 0.771 Te
0.499 0.997 0.271 Te
0.047 0.094 0.035 Te
0.436 0.873 0.429 Al
0.564 0.127 0.929 Al
0.205 0.410 0.027 Tb
0.795 0.590 0.527 Tb
```

***

Entry 12:
Density functional theory data (PBE-GGA) for a relaxed BaTbAlTe4 crystal.

## Properties
Formation energy (no corrections) (eV per formula unit): -7.96
Space-group type: P2_1/m (11)
Energy (eV per atom): -4.40

```
BaTbAlTe4
1.0
7.311 0.000 0.039
0.000 7.659 0.000
-2.814 0.000 8.841
Te Al Ba Tb
8 2 2 2
direct
0.986 0.490 0.281 Te
0.426 0.750 0.134 Te
0.986 0.010 0.281 Te
0.574 0.250 0.866 Te
0.547 0.250 0.399 Te
0.453 0.750 0.601 Te
0.014 0.510 0.719 Te
0.014 0.990 0.719 Te
0.768 0.250 0.673 Al
0.232 0.750 0.327 Al
0.226 0.250 0.053 Ba
0.774 0.750 0.947 Ba
0.768 0.750 0.442 Tb
0.232 0.250 0.558 Tb
```

***

Entry 13:
Density functional theory data (PBE-GGA) for a relaxed BaTb2Al3Zn6 crystal.

## Properties
Calculated formation energy (eV per atom): -0.22
Space-group type: P4/mmm (123)
Energy (eV per atom): -2.73

```
BaTb2Al3Zn6
1.0
4.244 0.000 0.000
0.000 4.244 0.000
0.000 0.000 14.185
Tb Al Zn Ba
2 3 6 1
direct
0.500 0.500 0.121 Tb
0.500 0.500 0.879 Tb
0.000 0.000 0.607 Al
0.000 0.000 0.000 Al
0.000 0.000 0.393 Al
0.000 0.500 0.711 Zn
0.000 0.500 0.289 Zn
0.500 0.000 0.289 Zn
0.500 0.000 0.711 Zn
0.000 0.000 0.183 Zn
0.000 0.000 0.817 Zn
0.500 0.500 0.500 Ba
```

***

Entry 14:
Density functional theory data (PBE-GGA) for a relaxed BaAl3Tc crystal.

## Properties
Excess energy over the best structure of this formula in the dataset (eV per atom): 0.4507
Calculated formation energy (eV per atom): 0.13
Space-group type: I-4m2 (119)
Energy (eV per atom): -4.57

```
BaAl3Tc
1.0
5.558 0.000 0.000
0.000 5.558 0.000
2.779 2.779 8.486
Al Ba Tc
6 2 2
direct
0.124 0.863 0.752 Al
0.615 0.876 0.248 Al
0.735 0.735 0.531 Al
0.265 0.265 0.469 Al
0.124 0.385 0.752 Al
0.137 0.876 0.248 Al
0.929 0.429 0.142 Ba
0.571 0.071 0.858 Ba
0.000 0.000 0.000 Tc
0.250 0.750 0.500 Tc
```

***

Entry 15:
Density functional theory data (PBE-GGA) for a relaxed BaAlTc4 crystal.

## Properties
Calculated formation energy (eV per atom): 0.67
Space-group type: F-43m (216)
Energy (eV per atom): -7.19

```
BaAlTc4
1.0
0.000 3.831 3.831
3.831 0.000 3.831
3.831 3.831 0.000
Tc Ba Al
4 1 1
direct
0.377 0.377 0.870 Tc
0.377 0.377 0.377 Tc
0.377 0.870 0.377 Tc
0.870 0.377 0.377 Tc
0.000 0.000 0.000 Ba
0.750 0.750 0.750 Al
```

***

Entry 16:
Density functional theory data (PBE-GGA) for a relaxed BaAl3Tc crystal.

## Properties
Excess energy over the best structure of this formula in the dataset (eV per atom): 0.1213
Calculated formation energy (eV per atom): -0.20
Space-group type: Cm (8)
Energy (eV per atom): -4.90

```
BaAl3Tc
1.0
6.645 0.003 0.000
-3.324 5.754 0.000
3.321 -1.915 5.968
Tc Al Ba
2 6 2
direct
0.029 0.889 0.875 Tc
0.878 0.040 0.329 Tc
0.342 0.156 0.097 Al
0.920 0.997 0.644 Al
0.762 0.156 0.097 Al
0.920 0.440 0.644 Al
0.478 0.998 0.644 Al
0.761 0.576 0.097 Al
0.251 0.667 0.209 Ba
0.453 0.465 0.603 Ba
```

***

Entry 17:
Density functional theory data (PBE-GGA) for a relaxed BaAl2Tc crystal.

## Properties
Excess energy over the best structure of this formula in the dataset (eV per atom): 0.7720
Calculated formation energy (eV per atom): 0.69
Space-group type: C2/m (12)
Energy (eV per atom): -4.25

```
BaAl2Tc
1.0
-2.913 0.044 -6.261
-0.922 -3.884 3.479
-3.129 0.611 -0.002
Al Tc Ba
2 1 1
direct
0.000 0.000 0.000 Al
0.500 0.000 0.500 Al
0.500 0.500 0.000 Tc
0.000 0.500 0.500 Ba
```

***

Entry 18:
Density functional theory data (PBE-GGA) for a relaxed BaAl3Tc crystal.

## Properties
Excess energy over the best structure of this formula in the dataset (eV per atom): 0.3456
Calculated formation energy (eV per atom): 0.03
Space-group type: Fd-3m (227)
Energy (eV per atom): -4.68

```
BaAl3Tc
1.0
0.000 6.751 6.751
6.751 0.000 6.751
6.751 6.751 0.000
Tc Al Ba
4 12 4
direct
0.125 0.625 0.125 Tc
0.125 0.125 0.625 Tc
0.125 0.125 0.125 Tc
0.625 0.125 0.125 Tc
0.154 0.846 0.846 Al
0.846 0.846 0.154 Al
0.154 0.846 0.154 Al
0.096 0.096 0.404 Al
0.404 0.096 0.404 Al
0.154 0.154 0.846 Al
0.846 0.154 0.154 Al
0.404 0.404 0.096 Al
0.096 0.404 0.404 Al
0.404 0.096 0.096 Al
0.846 0.154 0.846 Al
0.096 0.404 0.096 Al
0.625 0.125 0.625 Ba
0.125 0.625 0.625 Ba
0.625 0.625 0.125 Ba
0.625 0.625 0.625 Ba
```

***

Entry 19:
Density functional theory data (PBE-GGA) for a relaxed BaAl3Tc crystal.

## Properties
Excess energy over the best structure of this formula in the dataset (eV per atom): 0.3915
Calculated formation energy (eV per atom): 0.07
Space-group type: C2/m (12)
Energy (eV per atom): -4.63

```
BaAl3Tc
1.0
-14.008 2.039 2.798
-7.114 0.948 -2.946
6.098 -4.755 0.632
Al Ba Tc
6 2 2
direct
0.395 0.798 0.202 Al
0.173 0.536 0.464 Al
0.828 0.151 0.849 Al
0.827 0.464 0.536 Al
0.605 0.202 0.798 Al
0.172 0.849 0.151 Al
0.678 0.928 0.072 Ba
0.322 0.072 0.928 Ba
0.027 0.137 0.863 Tc
0.973 0.863 0.137 Tc
```

***

Entry 20:
Density functional theory data (PBE-GGA) for a relaxed BaAl2Tc crystal.

## Properties
Excess energy over the best structure of this formula in the dataset (eV per atom): 0.4704
Calculated formation energy (eV per atom): 0.39
Space-group type: Immm (71)
Energy (eV per atom): -4.55

```
BaAl2Tc
1.0
-0.716 -1.275 5.981
3.402 -4.731 1.988
-0.363 5.710 -2.275
Tc Ba Al
1 1 2
direct
0.250 0.750 0.500 Tc
0.750 0.250 0.500 Ba
0.441 0.441 0.000 Al
0.059 0.059 0.000 Al
```